CrNi15Pt6 | Alexandria | PBE | optimized geometry; space-group type = P1 (1); N(E_F) = 37.22 states/eV/f.u.; formation energy = 0.04 eV/atom
1.0
5.060 0.000 0.000
-1.203 7.159 0.000
-1.242 -3.021 7.758
Cr Ni Pt
1 15 6
Direct
0.000 0.000 0.000
0.008 0.392 0.715
0.033 0.770 0.453
0.145 0.136 0.485
0.159 0.515 0.215
0.291 0.612 0.615
0.437 0.377 0.395
0.520 0.380 0.715
0.547 0.764 0.452
0.642 0.129 0.484
0.674 0.527 0.206
0.774 0.885 0.240
0.796 0.286 0.944
0.905 0.632 0.984
0.923 0.042 0.696
0.924 0.379 0.398
0.265 0.881 0.237
0.295 0.319 0.949
0.420 0.993 0.728
0.427 0.718 0.937
0.571 0.133 0.128
0.826 0.692 0.697